A relaxed structure of Nd2CoBiO6, computed with PBE with a Hubbard U.

Cell lengths 5.858, 5.858, 5.728 Å; angles 116.62, 116.62, 58.72 degrees
Fractional positions:
Nd1 0.245 0.245 0.210
Nd2 0.755 0.755 0.790
Co1 0.500 0.500 0.000
Bi1 0.000 0.000 0.500
O1 0.181 0.662 0.156
O2 0.250 0.250 0.621
O3 0.338 0.819 0.844
O4 0.662 0.181 0.156
O5 0.750 0.750 0.379
O6 0.819 0.338 0.844

Output
The calculation puts the volume at 14.41 Å³/atom. As for the space group: C2/m. As for the raw total energy: -0.5105 Ry/atom.